Entry 1:
A relaxed structure of Cs3K12Tl. Source: Alexandria via LeMat-Bulk, functional GGA-PBE.

Lattice parameters (Å, degrees): 6.7448 6.7448 25.6448 90.00 90.00 90.00
Closest atoms and distances in Å follow each position.
Positions (direct):
K 0.5000 0.5000 0.0000  8 K 4.10
K 0.5000 0.0000 0.3626  8 K 4.77-4.88, 4 Cs 4.88-4.93
K 0.5000 0.5000 0.5000  4 Cs 4.77, 8 K 4.88
K 0.0000 0.5000 0.6374  8 K 4.77-4.88, 4 Cs 4.88-4.93
K 0.0000 0.5000 0.0909  2 Tl 4.10, 2 K 4.10
K 0.0000 0.5000 0.3626  8 K 4.77-4.88, 4 Cs 4.88-4.93
K 0.0000 0.5000 0.9091  2 Tl 4.10, 2 K 4.10
K 0.5000 0.5000 0.2292  4 Cs 4.77, 8 K 4.80-4.89
K 0.5000 0.0000 0.9091  2 K 4.10, 2 Tl 4.10
K 0.5000 0.0000 0.0909  2 K 4.10, 2 Tl 4.10
K 0.5000 0.0000 0.6374  8 K 4.77-4.88, 4 Cs 4.88-4.93
K 0.5000 0.5000 0.7708  4 Cs 4.77, 8 K 4.80-4.89
Cs 0.0000 0.0000 0.7776  12 K 4.77-4.93
Cs 0.0000 0.0000 0.5000  12 K 4.77-4.88
Cs 0.0000 0.0000 0.2224  12 K 4.77-4.93
Tl 0.0000 0.0000 0.0000  8 K 4.10

The formation energy comes out at 0.013 eV/atom. Its symmetry is P4/mmm (123).

=====

Entry 2:
A relaxed structure of ZnSb2Se. Source: Alexandria via LeMat-Bulk, functional GGA-PBE.

Lattice parameters (Å, degrees): 6.5598 6.5598 4.5652 110.40 110.40 32.56
Closest atoms and distances in Å follow each position.
Positions (direct):
Sb 0.9973 0.9973 0.9978  1 Sb 2.93, 4 Se 2.93-2.94, 1 Zn 2.99
Sb 0.2471 0.2471 0.2471  4 Zn 2.93, 1 Sb 2.93, 1 Se 3.12
Se 0.5132 0.5132 0.5130  1 Zn 2.69, 4 Sb 2.93-2.94
Zn 0.7425 0.7425 0.7421  1 Se 2.69, 5 Sb 2.93-2.99

The polymorph energy (0 for the lowest one) comes out at 175.6 meV/atom. Its symmetry is Imm2 (44). The formation energy (no corrections) comes out at -0.02 eV/atom.

=====

Entry 3:
A relaxed structure of CoSb2Rh. Source: Alexandria via LeMat-Bulk, functional GGA-PBE.

Lattice parameters (Å, degrees): 6.9551 6.9551 6.9551 154.46 145.20 43.66
Closest atoms and distances in Å follow each position.
Positions (direct):
Sb 0.0057 0.0057 0.0000  4 Co 2.68, 2 Rh 2.80
Sb 0.7469 0.2469 0.5000  4 Rh 2.70, 2 Co 2.85
Co 0.5610 0.5610 0.0000  2 Rh 2.64, 6 Sb 2.68-2.85
Rh 0.1865 0.6865 0.5000  2 Co 2.64, 6 Sb 2.70-2.80

The polymorph energy (0 for the lowest one) comes out at 164.0 meV/atom. Its symmetry is Imm2 (44). The formation energy (no corrections) comes out at 0.03 eV/atom.

=====

Entry 4:
A relaxed structure of SrOsPt. Source: Alexandria via LeMat-Bulk, functional GGA-PBE.

Lattice parameters (Å, degrees): 2.9618 2.9618 7.4946 90.00 90.00 120.00
Closest atoms and distances in Å follow each position.
Positions (direct):
Os 0.0000 0.0000 0.0245  3 Pt 2.73, 6 Os 2.96
Pt 0.6667 0.3333 0.3087  3 Os 2.73, 6 Pt 2.96
Sr 0.3333 0.6667 0.6668  6 Sr 2.96, 3 Os 3.18, 3 Pt 3.18

The formation energy comes out at 0.805 eV/atom. The polymorph energy (0 for the lowest one) comes out at 595.8 meV/atom. Its symmetry is P3m1 (156).

=====

DOS at the Fermi energy: 13.29 1.29 3.80 3.22 (states/eV/cell)